The following is a DFT calculation (PBE) of a relaxed Na4Zn2In5 crystal.

Lattice parameters (Å, degrees): 3.3603 7.8533 10.4099 93.98 90.00 90.00
Positions (direct):
In: 0.0000 0.5831 0.2936
In: 0.0000 0.8001 0.8212
Zn: 0.0000 0.0512 0.6280
Zn: 0.0000 0.9488 0.3720
Na: 0.5000 0.8451 0.1107
Na: 0.5000 0.2828 0.4483
Na: 0.5000 0.1549 0.8893
In: 0.0000 0.5000 0.0000
Na: 0.5000 0.7172 0.5517
In: 0.0000 0.4169 0.7064
In: 0.0000 0.1999 0.1788

Results
Energy of formation in eV per atom: -0.05
DOS(E_F) in states/eV/atom: 0.49
Final energy in eV/atom: -2.003